Density functional theory data (GGA-PBE) for an optimized crystal structure of ScTlAu.

## Properties
For the density, the calculation gives 11.1 g/cm³. The value obtained for the density of states at the Fermi level is 2.2 states/eV/f.u. Its crystal system is tetragonal. The value obtained for the total energy is -4.38 eV per atom.

Lattice parameters (Å, degrees): 3.4364 3.4364 11.2576 90.00 90.00 90.00
Space group I4mm (No. 107)
Asymmetric unit:
Sc 0.0000 0.0000 0.0000 x2
Tl 0.0000 0.0000 0.3109 x2
Au 0.0000 0.0000 0.6322 x2

***

Density functional theory data (GGA-PBE) for an optimized crystal structure of TlAuS4.

## Properties
For the density, the calculation gives 5.7 g/cm³. The value obtained for the density of states at the Fermi level is 2.5 states/eV/f.u. Its crystal system is triclinic. The value obtained for the total energy is -3.64 eV per atom. The formation energy from raw total energies is 0.31 eV/f.u.

Lattice parameters (Å, degrees): 6.0107 7.8116 7.8428 112.54 98.00 109.11
Space group P-1 (No. 2)
Asymmetric unit:
Tl 0.0000 0.0000 0.0000 x1
Tl 0.5000 0.0000 0.5000 x1
Au 0.2269 0.4872 0.7330 x2
S 0.0852 0.1044 0.6429 x2
S 0.1920 0.5405 0.3751 x2
S 0.3350 0.4325 0.1528 x2
S 0.3965 0.8793 0.0146 x2

***

Density functional theory data (GGA-PBE) for an optimized crystal structure of YTaTl2.

## Properties
For the density, the calculation gives 11.8 g/cm³. The value obtained for the density of states at the Fermi level is 1.4 states/eV/f.u. Its crystal system is tetragonal. The value obtained for the total energy is -5.49 eV per atom.

Lattice parameters (Å, degrees): 4.3394 4.3394 10.1219 90.00 90.00 90.00
Space group I-4m2 (No. 119)
Asymmetric unit:
Y 0.0000 0.0000 0.0000 x2
Ta 0.0000 0.5000 0.2500 x2
Tl 0.0000 0.0000 0.5000 x2
Tl 0.0000 0.5000 0.7500 x2

***

Density functional theory data (GGA-PBE) for an optimized crystal structure of Cs12Rb7Li.

## Properties
For the density, the calculation gives 1.8 g/cm³. The value obtained for the density of states at the Fermi level is 20.0 states/eV/f.u. Its crystal system is trigonal. The value obtained for the total energy is -0.92 eV per atom.

Lattice parameters (Å, degrees): 20.7501 20.7501 16.4066 90.00 90.00 120.00
Space group R-3 (No. 148, hexagonal axes)
Asymmetric unit:
Cs 0.0060 0.7422 0.0095 x18
Cs 0.0707 0.9072 0.7407 x18
Rb 0.0000 0.0000 0.0000 x3
Rb 0.0772 0.5478 0.1165 x18
Li 0.0000 0.0000 0.5000 x3

***

Density functional theory data (GGA-PBE) for an optimized crystal structure of Tb4PrNd.

## Properties
For the density, the calculation gives 7.7 g/cm³. The value obtained for the density of states at the Fermi level is 8.5 states/eV/f.u. The distance to the lowest polymorph of the same formula comes out at 0 meV per atom. Its crystal system is monoclinic. The value obtained for the total energy is -4.66 eV per atom.

Lattice parameters (Å, degrees): 11.4110 5.0864 7.2268 90.00 108.54 90.00
Space group C2/m (No. 12)
Asymmetric unit:
Tb 0.1675 0.0000 0.3334 x4
Tb 0.1680 0.0000 0.8343 x4
Pr 0.0000 0.5000 0.5000 x2
Nd 0.0000 0.5000 0.0000 x2

***

Density functional theory data (GGA-PBE) for an optimized crystal structure of BaHo4Au5.

## Properties
For the density, the calculation gives 12.0 g/cm³. The value obtained for the density of states at the Fermi level is 7.5 states/eV/f.u. Its crystal system is tetragonal. The value obtained for the total energy is -4.48 eV per atom.

Lattice parameters (Å, degrees): 3.6388 3.6388 18.5707 90.00 90.00 90.00
Space group P4/mmm (No. 123)
Asymmetric unit:
Ba 0.0000 0.0000 0.0000 x1
Ho 0.0000 0.0000 0.2117 x2
Ho 0.0000 0.0000 0.4045 x2
Au 0.5000 0.5000 0.1297 x2
Au 0.5000 0.5000 0.3096 x2
Au 0.5000 0.5000 0.5000 x1

***

Density functional theory data (GGA-PBE) for an optimized crystal structure of Tm2MnSi2.

## Properties
For the density, the calculation gives 7.9 g/cm³. The value obtained for the density of states at the Fermi level is 4.3 states/eV/f.u. Its crystal system is monoclinic. The value obtained for the total energy is -6.42 eV per atom. The formation energy from raw total energies is -3.14 eV/f.u.

Lattice parameters (Å, degrees): 9.5278 5.5454 7.3061 90.00 102.55 90.00
Space group C2/c (No. 15)
Asymmetric unit:
Tm 0.1462 0.1239 0.1459 x8
Mn 0.0000 0.3682 0.7500 x4
Si 0.1322 0.3680 0.4996 x8

***

Density functional theory data (GGA-PBE) for an optimized crystal structure of CoTc2Sb8.

## Properties
For the density, the calculation gives 7.0 g/cm³. The value obtained for the density of states at the Fermi level is 6.4 states/eV/f.u. Its crystal system is trigonal. The value obtained for the total energy is -5.33 eV per atom. The formation energy from raw total energies is 2.23 eV/f.u.

Lattice parameters (Å, degrees): 8.1577 8.1577 5.0653 90.00 90.00 120.00
Space group P-3m1 (No. 164)
Asymmetric unit:
Co 0.0000 0.0000 0.0000 x1
Tc 0.3333 0.6667 0.2134 x2
Sb 0.1501 0.3003 0.2856 x6
Sb 0.3333 0.6667 0.7256 x2